Density functional theory data (PBE-GGA) for CsTiP2Cl after structural relaxation.

Cell and atoms, written as POSCAR:
```
CsTiP2Cl
1.0
-3.135 0.794 3.486
-3.461 -1.837 -2.694
1.081 -5.198 2.156
Cl P Cs Ti
1 2 1 1
direct
0.000 0.000 0.500 Cl
0.500 0.000 0.000 P
0.000 0.500 0.000 P
0.500 0.500 0.500 Cs
0.000 0.000 0.000 Ti
```

Crystal system = tetragonal
Energy relative to the elements, uncorrected = -60 kJ per mole of atoms
Spin magnetization = 0.00 μB/f.u.
E above lowest polymorph = 0.0 meV per atom